AcGaPt4: optimized geometry, PBE.

a = 5.501 Å, b = 5.501 Å, c = 5.501 Å
α = 60.00°, β = 60.00°, γ = 60.00°
Positions (direct):
1 Ac 0.000 0.000 0.000
2 Ga 0.750 0.750 0.750
3 Pt 0.376 0.376 0.376
4 Pt 0.376 0.376 0.872
5 Pt 0.376 0.872 0.376
6 Pt 0.872 0.376 0.376

M_tot = 0.00 μB per cell
Excess energy over the best structure of this formula in the dataset = 0 meV per atom
Uncorrected energy = -35.85 eV/cell
E_form = -73.22 kJ/mol of atoms

AcGaPt: optimized geometry, PBE.

a = 4.890 Å, b = 4.890 Å, c = 4.890 Å
α = 60.00°, β = 60.00°, γ = 60.00°
Positions (direct):
1 Ac 0.000 0.000 0.000
2 Ga 0.500 0.500 0.500
3 Pt 0.250 0.250 0.250

M_tot = 0.00 μB per cell
Excess energy over the best structure of this formula in the dataset = 236 meV per atom
Uncorrected energy = -15.40 eV/cell
E_form = -71.68 kJ/mol of atoms

AcGaPt2: optimized geometry, PBE.

a = 3.499 Å, b = 3.499 Å, c = 6.884 Å
α = 90.00°, β = 90.00°, γ = 90.00°
Positions (direct):
1 Ac 0.000 0.000 0.000
2 Ga 0.000 0.000 0.500
3 Pt 0.500 0.500 0.301
4 Pt 0.500 0.500 0.699

M_tot = 0.00 μB per cell
Uncorrected energy = -21.89 eV/cell
E_form = -64.38 kJ/mol of atoms

| no. | DOS(E_F) (states/eV/cell) |
| --- | --- |
| 1 | 1.9 |
| 2 | 3.2 |
| 3 | 1.5 |